First-principles (GGA-PBE) data for LiInHg4 after structural relaxation, as listed in Alexandria.

Unit cell a=3.2946 b=3.2983 c=13.1019 alpha=90.00 beta=90.38 gamma=90.00
Space group P2/m (No. 10)
Inequivalent atoms, fractional coordinates:
Li1 0.0000 0.0000 0.0000 (multiplicity 1)
In1 0.5000 0.5000 0.5000 (multiplicity 1)
Hg1 0.0015 0.0000 0.6823 (multiplicity 2)
Hg2 0.4972 0.5000 0.8642 (multiplicity 2)

N(E_F)	0.48	states/eV/atom
volume	23.728	Å³ per atom

---

First-principles (GGA-PBE) data for Li2InHg after structural relaxation, as listed in Alexandria.

Unit cell a=9.6970 b=3.9123 c=4.6214 alpha=90.00 beta=117.01 gamma=90.00
Space group Cm (No. 8)
Inequivalent atoms, fractional coordinates:
Li1 0.0000 0.0000 0.0000 (multiplicity 2)
Li2 0.2480 0.5000 0.2534 (multiplicity 2)
In1 0.0005 0.5000 0.5019 (multiplicity 2)
Hg1 0.2636 0.0000 0.7726 (multiplicity 2)

N(E_F)	0.27	states/eV/atom
volume	19.525	Å³ per atom

---

First-principles (GGA-PBE) data for Li4In4Hg3 after structural relaxation, as listed in Alexandria.

Unit cell a=3.7399 b=3.7817 c=16.8568 alpha=96.26 beta=96.04 gamma=91.50
Space group P-1 (No. 2)
Inequivalent atoms, fractional coordinates:
Li1 0.0434 0.0438 0.0861 (multiplicity 2)
Li2 0.3206 0.3212 0.6425 (multiplicity 2)
In1 0.2255 0.2268 0.4518 (multiplicity 2)
In2 0.4123 0.4090 0.8227 (multiplicity 2)
Hg1 0.1362 0.1364 0.2717 (multiplicity 2)
Hg2 0.5000 0.5000 0.0000 (multiplicity 1)

N(E_F)	0.32	states/eV/atom
volume	21.409	Å³ per atom

---

Total DFT energy (no corrections)
In order: -6.561; -16.030; -21.863
Unit: eV per cell
Formation enthalpy at 0 K
In order: -0.12; -0.29; -0.21
Unit: eV per atom
Magnetization
In order: 0.00; 0.00; 0.00
Unit: μB per formula unit